Record 1
Computed, not measured: a relaxed structure of Sm3CuP2Pt9 at the PBE level of DFT.

## Properties
- E_form: -0.7651 eV/atom
- DOS(E_F): 0.458 states/eV/atom
- DFT total energy: -6.328 eV per atom

a = 5.7146 Å, b = 5.7146 Å, c = 10.5394 Å
α = 90.00°, β = 90.00°, γ = 120.00°
With the nearest neighbours (Å) after each atom.
Fractional positions:
1 Sm 0.0000 0.0000 0.0000  6 Pt 2.86
2 Sm 0.3333 0.6667 0.5821  9 Pt 3.06-3.30, 3 Cu 3.41
3 Sm 0.6667 0.3333 0.4179  9 Pt 3.06-3.30, 3 Cu 3.41
4 Cu 0.0000 0.0000 0.5000  6 Pt 2.54
5 P 0.3333 0.6667 0.1622  6 Pt 2.32-2.38
6 P 0.6667 0.3333 0.8378  6 Pt 2.32-2.38
7 Pt 0.0000 0.5000 0.0000  2 P 2.38
8 Pt 0.1626 0.3253 0.3135  1 P 2.32, 1 Cu 2.54
9 Pt 0.1626 0.8374 0.3135  1 P 2.32, 1 Cu 2.54
10 Pt 0.3253 0.1626 0.6865  1 P 2.32, 1 Cu 2.54
11 Pt 0.5000 0.0000 0.0000  2 P 2.38
12 Pt 0.5000 0.5000 0.0000  2 P 2.38
13 Pt 0.6747 0.8374 0.3135  1 P 2.32, 1 Cu 2.54
14 Pt 0.8374 0.1626 0.6865  1 P 2.32, 1 Cu 2.54
15 Pt 0.8374 0.6747 0.6865  1 P 2.32, 1 Cu 2.54

***

Record 2
Computed, not measured: a relaxed structure of Sm2CuPPt6 at the PBE level of DFT.

## Properties
- E_form: -0.8253 eV/atom
- DOS(E_F): 0.334 states/eV/atom
- DFT total energy: -6.344 eV per atom

a = 5.5472 Å, b = 8.6655 Å, c = 8.0740 Å
α = 90.00°, β = 90.00°, γ = 90.00°
With the nearest neighbours (Å) after each atom.
Fractional positions:
1 Sm 0.2500 0.0231 0.2257  9 Pt 3.07-3.26, 2 Cu 3.40
2 Sm 0.2500 0.4769 0.2257  9 Pt 3.07-3.26, 2 Cu 3.40
3 Sm 0.7500 0.5231 0.7743  9 Pt 3.07-3.26, 2 Cu 3.40
4 Sm 0.7500 0.9769 0.7743  9 Pt 3.07-3.26, 2 Cu 3.40
5 Cu 0.2500 0.7500 0.7834  6 Pt 2.49-2.58
6 Cu 0.7500 0.2500 0.2166  6 Pt 2.49-2.58
7 P 0.2500 0.2500 0.7338  6 Pt 2.30-2.44
8 P 0.7500 0.7500 0.2662  6 Pt 2.30-2.44
9 Pt 0.0040 0.7500 0.5122  1 P 2.44, 1 Cu 2.58, 2 Pt 2.70
10 Pt 0.0077 0.7500 0.0429  1 P 2.30, 1 Cu 2.49
11 Pt 0.2500 0.0019 0.6146  1 P 2.36, 1 Cu 2.57
12 Pt 0.2500 0.4981 0.6146  1 P 2.36, 1 Cu 2.57
13 Pt 0.4923 0.7500 0.0429  1 P 2.30, 1 Cu 2.49
14 Pt 0.4960 0.7500 0.5122  1 P 2.44, 1 Cu 2.58, 2 Pt 2.70
15 Pt 0.5040 0.2500 0.4878  1 P 2.44, 1 Cu 2.58, 2 Pt 2.70
16 Pt 0.5077 0.2500 0.9571  1 P 2.30, 1 Cu 2.49
17 Pt 0.7500 0.5019 0.3854  1 P 2.36, 1 Cu 2.57
18 Pt 0.7500 0.9981 0.3854  1 P 2.36, 1 Cu 2.57
19 Pt 0.9923 0.2500 0.9571  1 P 2.30, 1 Cu 2.49
20 Pt 0.9960 0.2500 0.4878  1 P 2.44, 1 Cu 2.58, 2 Pt 2.70

***

Record 3
Computed, not measured: a relaxed structure of Sm2CuP3Pt12 at the PBE level of DFT.

## Properties
- E_form: -0.4169 eV/atom
- DOS(E_F): 0.333 states/eV/atom
- DFT total energy: -6.098 eV per atom

a = 7.6045 Å, b = 7.6045 Å, c = 7.6045 Å
α = 65.59°, β = 65.59°, γ = 65.59°
With the nearest neighbours (Å) after each atom.
Fractional positions:
1 Sm 0.1144 0.1144 0.1144  6 Pt 2.91-3.02
2 Sm 0.8856 0.8856 0.8856  6 Pt 2.91-3.02
3 Cu 0.5000 0.5000 0.5000  6 Pt 2.46
4 P 0.0000 0.5000 0.5000  6 Pt 2.26-2.33
5 P 0.5000 0.0000 0.5000  6 Pt 2.26-2.33
6 P 0.5000 0.5000 0.0000  6 Pt 2.26-2.33
7 Pt 0.1303 0.6254 0.6254  1 P 2.26, 1 Cu 2.46
8 Pt 0.1541 0.1541 0.6044  2 P 2.33
9 Pt 0.1541 0.6044 0.1541  2 P 2.33
10 Pt 0.3746 0.3746 0.8697  1 P 2.26, 1 Cu 2.46
11 Pt 0.3746 0.8697 0.3746  1 P 2.26, 1 Cu 2.46
12 Pt 0.3956 0.8459 0.8459  2 P 2.33
13 Pt 0.6044 0.1541 0.1541  2 P 2.33
14 Pt 0.6254 0.1303 0.6254  1 P 2.26, 1 Cu 2.46
15 Pt 0.6254 0.6254 0.1303  1 P 2.26, 1 Cu 2.46
16 Pt 0.8459 0.3956 0.8459  2 P 2.33
17 Pt 0.8459 0.8459 0.3956  2 P 2.33
18 Pt 0.8697 0.3746 0.3746  1 P 2.26, 1 Cu 2.46

***

Record 4
Computed, not measured: a relaxed structure of Sr2CuP3Pt12 at the PBE level of DFT.

## Properties
- E_form: -0.3349 eV/atom
- DOS(E_F): 0.302 states/eV/atom
- DFT total energy: -5.678 eV per atom

a = 7.7325 Å, b = 7.7325 Å, c = 7.7325 Å
α = 64.75°, β = 64.75°, γ = 64.75°
With the nearest neighbours (Å) after each atom.
Fractional positions:
1 Sr 0.1141 0.1141 0.1141  6 Pt 3.04-3.12
2 Sr 0.8859 0.8859 0.8859  6 Pt 3.04-3.12
3 Cu 0.5000 0.5000 0.5000  6 Pt 2.43
4 P 0.0000 0.5000 0.5000  6 Pt 2.25-2.31
5 P 0.5000 0.0000 0.5000  6 Pt 2.25-2.31
6 P 0.5000 0.5000 0.0000  6 Pt 2.25-2.31
7 Pt 0.1359 0.6166 0.6166  1 P 2.25, 1 Cu 2.43
8 Pt 0.1597 0.1597 0.5959  2 P 2.31
9 Pt 0.1597 0.5959 0.1597  2 P 2.31
10 Pt 0.3834 0.3834 0.8641  1 P 2.25, 1 Cu 2.43
11 Pt 0.3834 0.8641 0.3834  1 P 2.25, 1 Cu 2.43
12 Pt 0.4041 0.8403 0.8403  2 P 2.31
13 Pt 0.5959 0.1597 0.1597  2 P 2.31
14 Pt 0.6166 0.1359 0.6166  1 P 2.25, 1 Cu 2.43
15 Pt 0.6166 0.6166 0.1359  1 P 2.25, 1 Cu 2.43
16 Pt 0.8403 0.4041 0.8403  2 P 2.31
17 Pt 0.8403 0.8403 0.4041  2 P 2.31
18 Pt 0.8641 0.3834 0.3834  1 P 2.25, 1 Cu 2.43